Entry from Alexandria via LeMat-Bulk: a relaxed Li2Er3In6 crystal (GGA-PBE).

Calculated values
Crystal system: tetragonal
ΔE_f, eV/atom: -0.27
Space-group type: I4/mmm, No. 139

Lattice parameters (Å, degrees): 4.524 4.524 13.210 99.86 99.86 90.00
Sites, in units of the cell vectors:
Li  0.545  0.545  0.089
Li  0.455  0.455  0.911
In  0.685  0.685  0.371
In  0.599  0.099  0.198
In  0.401  0.901  0.802
In  0.901  0.401  0.802
In  0.315  0.315  0.629
In  0.099  0.599  0.198
Er  0.000  0.000  0.000
Er  0.805  0.805  0.610
Er  0.195  0.195  0.390

Entry from Alexandria via LeMat-Bulk: a relaxed LiEr2In8 crystal (GGA-PBE).

Calculated values
Crystal system: tetragonal
ΔE_f, eV/atom: -0.31
Space-group type: P4/mmm, No. 123

Lattice parameters (Å, degrees): 4.676 4.676 12.213 90.00 90.00 90.00
Sites, in units of the cell vectors:
In  0.000  0.500  0.872
In  0.500  0.500  0.689
In  0.500  0.000  0.128
In  0.000  0.500  0.500
In  0.500  0.500  0.311
In  0.500  0.000  0.500
In  0.500  0.000  0.872
In  0.000  0.500  0.128
Er  0.000  0.000  0.687
Er  0.000  0.000  0.313
Li  0.000  0.000  0.000

Entry from Alexandria via LeMat-Bulk: a relaxed LiErIn2 crystal (GGA-PBE).

Calculated values
Crystal system: cubic
Energy above the most stable polymorph in this dataset, eV per atom: 0.015
ΔE_f, eV/atom: -0.37
Space-group type: Fm-3m, No. 225

Lattice parameters (Å, degrees): 5.100 5.100 5.100 60.00 60.00 60.00
Sites, in units of the cell vectors:
Li  0.000  0.000  0.000
Er  0.500  0.500  0.500
In  0.250  0.250  0.250
In  0.750  0.750  0.750

Entry from Alexandria via LeMat-Bulk: a relaxed LiEr3In12 crystal (GGA-PBE).

Calculated values
Crystal system: tetragonal
ΔE_f, eV/atom: -0.31
Space-group type: P4/mmm, No. 123

Lattice parameters (Å, degrees): 4.629 4.629 18.261 90.00 90.00 90.00
Sites, in units of the cell vectors:
In  0.500  0.500  0.248
In  0.000  0.500  0.627
In  0.500  0.000  0.373
In  0.500  0.500  0.000
In  0.000  0.500  0.118
In  0.000  0.500  0.882
In  0.500  0.500  0.752
In  0.500  0.000  0.118
In  0.500  0.000  0.627
In  0.500  0.500  0.500
In  0.000  0.500  0.373
In  0.500  0.000  0.882
Er  0.000  0.000  0.247
Er  0.000  0.000  0.753
Er  0.000  0.000  0.500
Li  0.000  0.000  0.000

Entry from Alexandria via LeMat-Bulk: a relaxed LiErIn2 crystal (GGA-PBE).

Calculated values
Crystal system: trigonal
Energy above the most stable polymorph in this dataset, eV per atom: 0.217
ΔE_f, eV/atom: -0.17
Space-group type: R-3m, No. 166

Lattice parameters (Å, degrees): 3.399 3.399 10.140 80.35 80.35 60.00
Sites, in units of the cell vectors:
Li  0.000  0.000  0.000
In  0.255  0.255  0.234
In  0.745  0.745  0.766
Er  0.500  0.500  0.500

Entry from Alexandria via LeMat-Bulk: a relaxed LiErIn crystal (GGA-PBE).

Calculated values
Crystal system: trigonal
ΔE_f, eV/atom: -0.32
Space-group type: P3m1, No. 156

Lattice parameters (Å, degrees): 3.346 4.925 4.925 120.00 90.00 90.00
Sites, in units of the cell vectors:
In  0.167  0.000  0.000
Li  0.166  0.667  0.333
Er  0.667  0.333  0.667

Entry from Alexandria via LeMat-Bulk: a relaxed LiEr4In3 crystal (GGA-PBE).

Calculated values
Crystal system: orthorhombic
ΔE_f, eV/atom: -0.37
Space-group type: Fmmm, No. 69

Lattice parameters (Å, degrees): 5.137 5.137 8.559 107.51 107.51 89.88
Sites, in units of the cell vectors:
In  0.254  0.754  0.507
In  0.746  0.246  0.493
In  0.000  0.500  0.000
Er  0.375  0.375  0.750
Er  0.625  0.625  0.250
Er  0.875  0.875  0.750
Er  0.125  0.125  0.250
Li  0.500  0.000  0.000

Entry from Alexandria via LeMat-Bulk: a relaxed LiErIn3 crystal (GGA-PBE).

Calculated values
Crystal system: hexagonal
ΔE_f, eV/atom: -0.19
Space-group type: P6_3/mmc, No. 194

Lattice parameters (Å, degrees): 5.757 6.884 6.884 120.00 90.00 90.00
Sites, in units of the cell vectors:
Li  0.000  0.000  0.000
Li  0.500  0.000  0.000
In  0.250  0.377  0.188
In  0.250  0.812  0.623
In  0.750  0.188  0.377
In  0.750  0.188  0.812
In  0.250  0.812  0.188
In  0.750  0.623  0.812
Er  0.750  0.667  0.333
Er  0.250  0.333  0.667

Entry from Alexandria via LeMat-Bulk: a relaxed LiEr6In2 crystal (GGA-PBE).

Calculated values
Crystal system: monoclinic
ΔE_f, eV/atom: 0.13
Space-group type: C2/m, No. 12

Lattice parameters (Å, degrees): 5.044 7.289 8.846 114.33 106.64 90.00
Sites, in units of the cell vectors:
Er  0.836  0.590  0.672
Er  0.164  0.918  0.328
Er  0.836  0.082  0.672
Er  0.500  0.755  0.000
Er  0.500  0.245  0.000
Er  0.164  0.410  0.328
In  0.666  0.667  0.334
In  0.334  0.333  0.666
Li  0.000  0.000  0.000

Entry from Alexandria via LeMat-Bulk: a relaxed LiEr2In9 crystal (GGA-PBE).

Calculated values
Crystal system: tetragonal
ΔE_f, eV/atom: -0.29
Space-group type: P4/mmm, No. 123

Lattice parameters (Å, degrees): 4.606 4.606 13.801 90.00 90.00 90.00
Sites, in units of the cell vectors:
In  0.000  0.500  0.841
In  0.500  0.000  0.159
In  0.500  0.500  0.667
In  0.000  0.500  0.500
In  0.500  0.000  0.841
In  0.500  0.500  0.333
In  0.000  0.500  0.159
In  0.500  0.500  0.000
In  0.500  0.000  0.500
Er  0.000  0.000  0.670
Er  0.000  0.000  0.330
Li  0.000  0.000  0.000

Entry from Alexandria via LeMat-Bulk: a relaxed LiErIn crystal (GGA-PBE).

Calculated values
Crystal system: tetragonal
ΔE_f, eV/atom: -0.14
Space-group type: I4/mmm, No. 139

Lattice parameters (Å, degrees): 3.350 3.350 12.954 97.43 97.43 90.00
Each line ends with the local moment (μB).
Sites, in units of the cell vectors:
In  0.847  0.847  0.693  0.01
In  0.153  0.153  0.307  0.01
Li  0.719  0.719  0.438  0.00
Li  0.281  0.281  0.562  0.00
Er  0.434  0.434  0.867  0.34
Er  0.566  0.566  0.133  0.34

Entry from Alexandria via LeMat-Bulk: a relaxed LiErIn2 crystal (GGA-PBE).

Calculated values
Crystal system: tetragonal
Energy above the most stable polymorph in this dataset, eV per atom: 0.001
ΔE_f, eV/atom: -0.38
Space-group type: P4/mmm, No. 123

Lattice parameters (Å, degrees): 3.525 3.525 7.292 90.00 90.00 90.00
Each line ends with the local moment (μB).
Sites, in units of the cell vectors:
Er  0.500  0.500  0.500  0.17
In  0.000  0.000  0.786  0.00
In  0.000  0.000  0.214  0.00
Li  0.500  0.500  0.000  0.00

Entry from Alexandria via LeMat-Bulk: a relaxed LiErIn2 crystal (GGA-PBE).

Calculated values
Crystal system: tetragonal
Energy above the most stable polymorph in this dataset, eV per atom: 0.000
ΔE_f, eV/atom: -0.39
Space-group type: P4/mmm, No. 123

Lattice parameters (Å, degrees): 3.825 4.973 4.973 90.00 90.00 90.00
Sites, in units of the cell vectors:
In  0.000  0.000  0.500
In  0.000  0.500  0.000
Er  0.500  0.500  0.500
Li  0.500  0.000  0.000

Entry from Alexandria via LeMat-Bulk: a relaxed Li4ErIn5 crystal (GGA-PBE).

Calculated values
Crystal system: tetragonal
ΔE_f, eV/atom: -0.31
Space-group type: P4/mmm, No. 123

Lattice parameters (Å, degrees): 3.515 3.515 16.899 90.00 90.00 90.00
Each line ends with the local moment (μB).
Sites, in units of the cell vectors:
Er  0.000  0.000  0.000  0.20
Li  0.000  0.000  0.784  0.00
Li  0.000  0.000  0.216  0.00
Li  0.000  0.000  0.594  0.00
Li  0.000  0.000  0.406  0.00
In  0.500  0.500  0.310  0.00
In  0.500  0.500  0.690  0.00
In  0.500  0.500  0.877  0.00
In  0.500  0.500  0.123  0.00
In  0.500  0.500  0.500  0.00

Entry from Alexandria via LeMat-Bulk: a relaxed Li3ErIn3 crystal (GGA-PBE).

Calculated values
Crystal system: cubic
ΔE_f, eV/atom: 0.27
Space-group type: Pm-3n, No. 223

Lattice parameters (Å, degrees): 7.054 7.054 7.054 90.00 90.00 90.00
Sites, in units of the cell vectors:
Er  0.500  0.500  0.500
Er  0.000  0.000  0.000
In  0.000  0.500  0.750
In  0.750  0.000  0.500
In  0.500  0.250  0.000
In  0.500  0.750  0.000
In  0.000  0.500  0.250
In  0.250  0.000  0.500
Li  0.500  0.000  0.750
Li  0.750  0.500  0.000
Li  0.000  0.750  0.500
Li  0.000  0.250  0.500
Li  0.500  0.000  0.250
Li  0.250  0.500  0.000

Entry from Alexandria via LeMat-Bulk: a relaxed LiErIn crystal (GGA-PBE).

Calculated values
Crystal system: monoclinic
ΔE_f, eV/atom: 0.02
Space-group type: P2/m, No. 10

Lattice parameters (Å, degrees): 6.706 5.258 3.665 90.00 89.99 38.13
Each line ends with the local moment (μB).
Sites, in units of the cell vectors:
In  0.000  0.000  0.500  0.00
Li  0.500  0.500  0.000  0.01
Er  0.000  0.500  0.000  0.28

Entry from Alexandria via LeMat-Bulk: a relaxed Li2ErIn4 crystal (GGA-PBE).

Calculated values
Crystal system: tetragonal
ΔE_f, eV/atom: 0.06
Space-group type: I4/mmm, No. 139

Lattice parameters (Å, degrees): 5.784 5.784 7.089 114.08 114.08 90.00
Sites, in units of the cell vectors:
In  0.000  0.500  0.000
In  0.750  0.250  0.500
In  0.250  0.750  0.500
In  0.500  0.000  0.000
Er  0.000  0.000  0.000
Li  0.368  0.368  0.736
Li  0.632  0.632  0.264

Entry from Alexandria via LeMat-Bulk: a relaxed LiErIn crystal (GGA-PBE).

Calculated values
Crystal system: monoclinic
ΔE_f, eV/atom: -0.21
Space-group type: P2_1/c, No. 14

Lattice parameters (Å, degrees): 6.317 8.006 8.603 42.11 90.00 90.00
Sites, in units of the cell vectors:
Er  0.376  0.738  0.918
Er  0.624  0.262  0.082
Er  0.876  0.762  0.582
Er  0.124  0.238  0.418
Li  0.627  0.704  0.289
Li  0.373  0.296  0.711
Li  0.873  0.204  0.789
Li  0.127  0.796  0.211
In  0.380  0.772  0.532
In  0.120  0.272  0.032
In  0.880  0.728  0.968
In  0.620  0.228  0.468

Entry from Alexandria via LeMat-Bulk: a relaxed Li2Er2In3 crystal (GGA-PBE).

Calculated values
Crystal system: orthorhombic
ΔE_f, eV/atom: -0.32
Space-group type: Cmmm, No. 65

Lattice parameters (Å, degrees): 4.523 3.247 11.183 90.00 78.33 90.00
Each line ends with the local moment (μB).
Sites, in units of the cell vectors:
Li  0.281  0.500  0.438  0.00
Li  0.719  0.500  0.562  0.00
In  0.840  0.000  0.320  0.00
In  0.160  0.000  0.680  0.00
In  0.000  0.000  0.000  0.00
Er  0.578  0.500  0.843  0.12
Er  0.422  0.500  0.157  0.12

Entry from Alexandria via LeMat-Bulk: a relaxed Li2ErIn crystal (GGA-PBE).

Calculated values
Crystal system: tetragonal
Energy above the most stable polymorph in this dataset, eV per atom: 0.175
ΔE_f, eV/atom: -0.09
Space-group type: P4/mmm, No. 123

Lattice parameters (Å, degrees): 3.652 3.652 6.642 90.00 90.00 90.00
Sites, in units of the cell vectors:
Li  0.000  0.000  0.788
Li  0.000  0.000  0.212
Er  0.500  0.500  0.500
In  0.500  0.500  0.000

Entry from Alexandria via LeMat-Bulk: a relaxed LiErIn crystal (GGA-PBE).

Calculated values
Crystal system: tetragonal
ΔE_f, eV/atom: 0.14
Space-group type: I4mm, No. 107

Lattice parameters (Å, degrees): 3.125 3.125 8.727 100.32 100.32 90.00
Sites, in units of the cell vectors:
Li  0.956  0.956  0.913
Er  0.770  0.770  0.540
In  0.124  0.124  0.248

Entry from Alexandria via LeMat-Bulk: a relaxed LiEr5In3 crystal (GGA-PBE).

Calculated values
Crystal system: hexagonal
ΔE_f, eV/atom: -0.34
Space-group type: P6_3/mcm, No. 193

Lattice parameters (Å, degrees): 6.587 9.176 9.176 120.00 90.00 90.00
Sites, in units of the cell vectors:
Er  0.250  0.000  0.694
Er  0.250  0.694  0.000
Er  0.500  0.333  0.667
Er  0.500  0.667  0.333
Er  0.750  0.694  0.694
Er  0.250  0.306  0.306
Er  0.000  0.667  0.333
Er  0.000  0.333  0.667
Er  0.750  0.306  0.000
Er  0.750  0.000  0.306
Li  0.500  0.000  0.000
Li  0.000  0.000  0.000
In  0.250  0.000  0.354
In  0.250  0.354  0.000
In  0.750  0.354  0.354
In  0.750  0.646  0.000
In  0.750  0.000  0.646
In  0.250  0.646  0.646

Entry from Alexandria via LeMat-Bulk: a relaxed Li2Er3In3 crystal (GGA-PBE).

Calculated values
Crystal system: hexagonal
Energy above the most stable polymorph in this dataset, eV per atom: 0.037
ΔE_f, eV/atom: -0.27
Space-group type: P-62m, No. 189

Lattice parameters (Å, degrees): 3.189 8.291 8.291 120.00 90.00 90.00
Sites, in units of the cell vectors:
In  0.500  0.402  0.402
In  0.500  0.598  0.000
In  0.500  0.000  0.598
Er  0.000  0.000  0.250
Er  0.000  0.250  0.000
Er  0.000  0.750  0.750
Li  0.000  0.333  0.667
Li  0.000  0.667  0.333

Entry from Alexandria via LeMat-Bulk: a relaxed LiEr2In3 crystal (GGA-PBE).

Calculated values
Crystal system: orthorhombic
ΔE_f, eV/atom: -0.39
Space-group type: Fmmm, No. 69

Lattice parameters (Å, degrees): 6.014 6.014 9.147 102.85 102.85 108.86
Sites, in units of the cell vectors:
In  0.346  0.828  0.174
In  0.172  0.654  0.826
In  0.172  0.172  0.344
In  0.828  0.346  0.174
In  0.654  0.172  0.826
In  0.828  0.828  0.656
Er  0.750  0.250  0.500
Er  0.250  0.750  0.500
Er  0.249  0.249  0.000
Er  0.751  0.751  0.000
Li  0.332  0.332  0.664
Li  0.668  0.668  0.336